Record 1
# CsNa2Au

An optimized crystal structure of CsNa2Au (PBE-GGA, the Alexandria database).

energy: -1.871 eV per atom
offset from the most stable computed form: 0.0 kJ per mole of atoms
energy relative to the elements: -178 meV per atom

a = 18.917 Å, b = 9.084 Å, c = 7.065 Å
α = 90.00°, β = 90.00°, γ = 90.00°
Space group Pnma (No. 62)
Inequivalent atoms, fractional coordinates:
Cs 0.104 0.250 0.213 (multiplicity 4)
Cs 0.134 0.750 0.029 (multiplicity 4)
Na 0.050 0.064 0.685 (multiplicity 8)
Na 0.209 0.559 0.520 (multiplicity 8)
Au 0.069 0.750 0.515 (multiplicity 4)
Au 0.189 0.250 0.742 (multiplicity 4)



Record 2
# Ac2TlHg2O2

An optimized crystal structure of Ac2TlHg2O2 (PBE-GGA, the Alexandria database).

E_form (uncorrected): -1.604 eV per atom
energy: -4.619 eV per atom

a = 4.1354 Å, b = 4.1354 Å, c = 14.2864 Å
α = 90.00°, β = 90.00°, γ = 120.00°
Space group P-3m1 (No. 164)
Inequivalent atoms, fractional coordinates:
Ac 0.3333 0.6667 0.1126 (multiplicity 2)
Tl 0.0000 0.0000 0.5000 (multiplicity 1)
Hg 0.0000 0.0000 0.2928 (multiplicity 2)
O 0.3333 0.6667 0.9356 (multiplicity 2)



Record 3
# La4PtAuCl2

An optimized crystal structure of La4PtAuCl2 (PBE-GGA, the Alexandria database).

E_form (uncorrected): -1.292 eV per atom
energy: -5.382 eV per atom

a = 7.503 Å, b = 4.318 Å, c = 7.556 Å
α = 90.00°, β = 109.27°, γ = 90.00°
Space group P2/m (No. 10)
Inequivalent atoms, fractional coordinates:
La 0.236 0.000 0.231 (multiplicity 2)
La 0.242 0.500 0.761 (multiplicity 2)
Pt 0.000 0.500 0.000 (multiplicity 1)
Au 0.500 0.000 0.000 (multiplicity 1)
Cl 0.000 0.000 0.500 (multiplicity 1)
Cl 0.500 0.500 0.500 (multiplicity 1)



Record 4
# AsRuW2

An optimized crystal structure of AsRuW2 (PBE-GGA, the Alexandria database).

energy: -9.725 eV per atom
energy relative to the elements: 233 meV per atom

a = 9.437 Å, b = 3.022 Å, c = 4.455 Å
α = 90.00°, β = 103.30°, γ = 90.00°
Space group C2/m (No. 12)
Inequivalent atoms, fractional coordinates:
As 0.000 0.000 0.000 (multiplicity 2)
Ru 0.000 0.500 0.500 (multiplicity 2)
W 0.249 0.000 0.741 (multiplicity 4)



Number 1: total magnetization 0.000 Bohr magnetons per cell. Number 2: total magnetization 0.001 Bohr magnetons per cell. Number 3: total magnetization 0.000 Bohr magnetons per cell. Number 4: total magnetization 0.000 Bohr magnetons per cell.